A geometry-optimized Al2HRh structure, computed with PBE.

Cell lengths 5.7096, 5.7096, 5.8807 Å; angles 90.00, 90.00, 90.00 degrees
Space group I-42d (No. 122)
Symmetry-distinct sites (fractional):
1 Al 0.1636 0.2500 0.1250 [8 per cell]
2 H 0.0000 0.0000 0.0000 [4 per cell]
3 Rh 0.0000 0.0000 0.5000 [4 per cell]

Calculated values
- offset from the most stable computed form (meV/atom) = 0.0
- total magnetization (μB/cell) = 0.00
- electronic total energy (eV/atom) = -4.846
- crystal system = tetragonal